Record 1
The following is a DFT calculation (PBE+U) of a relaxed Li3FeO3 crystal.

Properties
Density of states at the Fermi level: 0.00 states/eV per atom
M_tot: 20.00 Bohr magnetons per cell
Theoretical density: 2.8 g/cm³
Relative energy among the computed polymorphs: 0.020 eV per atom

Cell lengths 5.418, 11.315, 5.732 Å; angles 90.00, 121.90, 90.00 degrees
Positions (direct):
Li  0.000  0.000  0.235
Li  0.000  0.000  0.765
Li  0.000  0.500  0.265
Li  0.000  0.500  0.735
Li  0.038  0.250  0.267
Li  0.038  0.250  0.767
Li  0.415  0.124  0.705
Li  0.415  0.376  0.205
Li  0.585  0.624  0.795
Li  0.585  0.876  0.295
Li  0.962  0.750  0.233
Li  0.962  0.750  0.733
Fe  0.437  0.641  0.221
Fe  0.437  0.859  0.721
Fe  0.563  0.141  0.279
Fe  0.563  0.359  0.779
O  0.027  0.631  0.015
O  0.027  0.869  0.515
O  0.320  0.010  0.160
O  0.320  0.490  0.660
O  0.468  0.250  0.482
O  0.468  0.250  0.982
O  0.532  0.750  0.018
O  0.532  0.750  0.518
O  0.680  0.510  0.340
O  0.680  0.990  0.840
O  0.973  0.131  0.485
O  0.973  0.369  0.985

=====

Record 2
The following is a DFT calculation (PBE+U) of a relaxed Li5FeO4 crystal.

Properties
Density of states at the Fermi level: 0.00 states/eV per atom
M_tot: 20.00 Bohr magnetons per cell
Theoretical density: 2.5 g/cm³
Relative energy among the computed polymorphs: 0.069 eV per atom

Cell lengths 8.498, 9.711, 5.266 Å; angles 90.00, 105.88, 90.00 degrees
Positions (direct):
Li  0.033  0.193  0.359
Li  0.033  0.307  0.859
Li  0.153  0.081  0.911
Li  0.153  0.419  0.411
Li  0.330  0.684  0.475
Li  0.330  0.816  0.975
Li  0.367  0.187  0.647
Li  0.367  0.313  0.147
Li  0.447  0.033  0.203
Li  0.447  0.467  0.703
Li  0.553  0.533  0.297
Li  0.553  0.967  0.797
Li  0.633  0.687  0.853
Li  0.633  0.813  0.353
Li  0.670  0.184  0.025
Li  0.670  0.316  0.525
Li  0.847  0.581  0.589
Li  0.847  0.919  0.089
Li  0.967  0.693  0.141
Li  0.967  0.807  0.641
Fe  0.235  0.546  0.940
Fe  0.235  0.954  0.440
Fe  0.765  0.046  0.560
Fe  0.765  0.454  0.060
O  0.039  0.644  0.838
O  0.039  0.856  0.338
O  0.241  0.135  0.278
O  0.241  0.365  0.778
O  0.324  0.505  0.309
O  0.324  0.995  0.809
O  0.402  0.650  0.847
O  0.402  0.850  0.347
O  0.598  0.150  0.653
O  0.598  0.350  0.153
O  0.676  0.005  0.191
O  0.676  0.495  0.691
O  0.759  0.635  0.222
O  0.759  0.865  0.722
O  0.961  0.144  0.662
O  0.961  0.356  0.162

=====

Record 3
The following is a DFT calculation (PBE+U) of a relaxed Li2Fe5O10 crystal.

Properties
Density of states at the Fermi level: 0.23 states/eV per atom
Total DFT energy (no corrections): -6.022 eV/atom
M_tot: 18.00 Bohr magnetons per cell
Theoretical density: 4.0 g/cm³

Cell lengths 5.044, 5.084, 7.899 Å; angles 77.34, 75.16, 78.04 degrees
Positions (direct):
Li  0.219  0.446  0.108
Li  0.781  0.554  0.892
Fe  0.000  0.500  0.500
Fe  0.122  0.015  0.812
Fe  0.301  0.972  0.404
Fe  0.699  0.028  0.596
Fe  0.878  0.985  0.188
O  0.042  0.244  0.990
O  0.054  0.794  0.625
O  0.195  0.721  0.290
O  0.340  0.217  0.553
O  0.492  0.149  0.200
O  0.508  0.851  0.800
O  0.660  0.783  0.447
O  0.805  0.279  0.710
O  0.946  0.206  0.375
O  0.958  0.756  0.010

=====

Record 4
The following is a DFT calculation (PBE+U) of a relaxed LiFeO2 crystal.

Properties
Density of states at the Fermi level: 0.00 states/eV per atom
Total DFT energy (no corrections): -6.082 eV/atom
M_tot: 10.00 Bohr magnetons per cell
Theoretical density: 4.2 g/cm³

Cell lengths 2.979, 4.121, 6.146 Å; angles 90.00, 90.00, 90.00 degrees
Positions (direct):
Li  0.250  0.250  0.102
Li  0.750  0.750  0.898
Fe  0.250  0.250  0.644
Fe  0.750  0.750  0.356
O  0.250  0.750  0.143
O  0.250  0.750  0.600
O  0.750  0.250  0.400
O  0.750  0.250  0.857

=====

Record 5
The following is a DFT calculation (PBE+U) of a relaxed LiFeO2 crystal.

Properties
Density of states at the Fermi level: 0.00 states/eV per atom
Total DFT energy (no corrections): -5.544 eV/atom
M_tot: 20.00 Bohr magnetons per cell
Theoretical density: 4.6 g/cm³

Cell lengths 5.139, 5.139, 5.139 Å; angles 90.00, 90.00, 90.00 degrees
Positions (direct):
Li  0.000  0.000  0.000
Li  0.000  0.500  0.500
Li  0.500  0.000  0.500
Li  0.500  0.500  0.000
Fe  0.000  0.000  0.500
Fe  0.000  0.500  0.000
Fe  0.500  0.000  0.000
Fe  0.500  0.500  0.500
O  0.250  0.250  0.250
O  0.250  0.250  0.750
O  0.250  0.750  0.250
O  0.250  0.750  0.750
O  0.750  0.250  0.250
O  0.750  0.250  0.750
O  0.750  0.750  0.250
O  0.750  0.750  0.750

=====

Record 6
The following is a DFT calculation (PBE+U) of a relaxed Li5Fe11O16 crystal.

Properties
M_tot: 23.05 Bohr magnetons per cell
Theoretical density: 5.0 g/cm³
Relative energy among the computed polymorphs: 0.330 eV per atom

Cell lengths 5.946, 5.960, 10.255 Å; angles 73.62, 73.88, 60.71 degrees
Positions (direct):
Li  0.000  0.000  0.000
Li  0.001  0.490  0.005
Li  0.013  0.004  0.491
Li  0.497  0.488  0.007
Li  0.507  0.492  0.499
Fe  0.011  0.498  0.497
Fe  0.249  0.734  0.756
Fe  0.252  0.239  0.751
Fe  0.254  0.249  0.245
Fe  0.259  0.741  0.251
Fe  0.503  0.982  0.002
Fe  0.514  0.991  0.498
Fe  0.755  0.239  0.748
Fe  0.755  0.737  0.752
Fe  0.760  0.746  0.246
Fe  0.763  0.249  0.242
O  0.131  0.120  0.630
O  0.137  0.600  0.136
O  0.143  0.108  0.122
O  0.144  0.589  0.633
O  0.367  0.890  0.871
O  0.383  0.891  0.371
O  0.402  0.338  0.865
O  0.402  0.353  0.376
O  0.611  0.122  0.126
O  0.612  0.121  0.634
O  0.628  0.626  0.120
O  0.635  0.613  0.625
O  0.855  0.892  0.870
O  0.871  0.882  0.376
O  0.894  0.350  0.855
O  0.905  0.369  0.364

=====

Record 7
The following is a DFT calculation (PBE+U) of a relaxed Li3Fe7O12 crystal.

Properties
Total DFT energy (no corrections): -6.142 eV/atom
M_tot: 25.00 Bohr magnetons per cell
Theoretical density: 4.5 g/cm³

Cell lengths 5.152, 5.152, 9.796 Å; angles 94.97, 94.97, 120.22 degrees
Positions (direct):
Li  0.000  0.000  0.000
Li  0.069  0.405  0.241
Li  0.595  0.931  0.759
Fe  0.160  0.840  0.500
Fe  0.345  0.655  0.000
Fe  0.409  0.078  0.238
Fe  0.497  0.503  0.500
Fe  0.662  0.338  0.000
Fe  0.829  0.171  0.500
Fe  0.922  0.591  0.762
O  0.081  0.709  0.127
O  0.143  0.146  0.394
O  0.179  0.549  0.608
O  0.291  0.919  0.873
O  0.376  0.355  0.115
O  0.451  0.821  0.392
O  0.575  0.227  0.618
O  0.645  0.624  0.885
O  0.689  0.059  0.116
O  0.773  0.425  0.382
O  0.854  0.857  0.606
O  0.941  0.311  0.884

=====

Record 8
The following is a DFT calculation (PBE+U) of a relaxed LiFeO2 crystal.

Properties
Density of states at the Fermi level: 0.00 states/eV per atom
Total DFT energy (no corrections): -6.084 eV/atom
M_tot: 20.00 Bohr magnetons per cell
Theoretical density: 4.2 g/cm³

Cell lengths 4.118, 4.118, 8.799 Å; angles 90.00, 90.00, 90.00 degrees
Positions (direct):
Li  0.000  0.250  0.375
Li  0.000  0.750  0.625
Li  0.500  0.250  0.125
Li  0.500  0.750  0.875
Fe  0.000  0.250  0.875
Fe  0.000  0.750  0.125
Fe  0.500  0.250  0.625
Fe  0.500  0.750  0.375
O  0.000  0.250  0.106
O  0.000  0.250  0.644
O  0.000  0.750  0.356
O  0.000  0.750  0.894
O  0.500  0.250  0.394
O  0.500  0.250  0.856
O  0.500  0.750  0.144
O  0.500  0.750  0.606

=====

Record 9
The following is a DFT calculation (PBE+U) of a relaxed Li2Fe4O7 crystal.

Properties
Total DFT energy (no corrections): -5.868 eV/atom
M_tot: 11.99 Bohr magnetons per cell
Theoretical density: 3.9 g/cm³

Cell lengths 5.112, 5.112, 6.532 Å; angles 90.00, 90.00, 120.00 degrees
Positions (direct):
Li  0.333  0.667  0.000
Li  0.667  0.333  0.000
Fe  0.000  0.000  0.278
Fe  0.000  0.000  0.722
Fe  0.333  0.667  0.500
Fe  0.667  0.333  0.500
O  0.000  0.000  0.000
O  0.000  0.366  0.672
O  0.000  0.634  0.328
O  0.366  0.000  0.672
O  0.366  0.366  0.328
O  0.634  0.000  0.328
O  0.634  0.634  0.672

=====

Record 10
The following is a DFT calculation (PBE+U) of a relaxed Li9Fe5O12 crystal.

Properties
Total DFT energy (no corrections): -5.736 eV/atom
M_tot: 25.00 Bohr magnetons per cell
Theoretical density: 3.7 g/cm³

Cell lengths 5.252, 5.252, 10.145 Å; angles 93.46, 93.46, 120.30 degrees
Positions (direct):
Li  0.000  0.000  0.000
Li  0.195  0.195  0.252
Li  0.205  0.646  0.751
Li  0.256  0.256  0.806
Li  0.354  0.795  0.249
Li  0.646  0.205  0.751
Li  0.744  0.744  0.194
Li  0.795  0.354  0.249
Li  0.805  0.805  0.748
Fe  0.164  0.836  0.500
Fe  0.331  0.669  0.000
Fe  0.500  0.500  0.500
Fe  0.669  0.331  0.000
Fe  0.836  0.164  0.500
O  0.025  0.677  0.120
O  0.141  0.473  0.390
O  0.191  0.191  0.609
O  0.323  0.975  0.880
O  0.399  0.399  0.118
O  0.473  0.141  0.390
O  0.527  0.859  0.610
O  0.601  0.601  0.882
O  0.677  0.025  0.120
O  0.809  0.809  0.391
O  0.859  0.527  0.610
O  0.975  0.323  0.880

=====

Record 11
The following is a DFT calculation (PBE+U) of a relaxed LiFeO2 crystal.

Properties
Density of states at the Fermi level: 0.00 states/eV per atom
Total DFT energy (no corrections): -6.065 eV/atom
M_tot: 10.00 Bohr magnetons per cell
Theoretical density: 4.1 g/cm³

Cell lengths 2.967, 2.967, 10.054 Å; angles 90.00, 90.00, 120.00 degrees
Positions (direct):
Li  0.333  0.667  0.000
Li  0.667  0.333  0.500
Fe  0.333  0.667  0.260
Fe  0.667  0.333  0.760
O  0.000  0.000  0.374
O  0.000  0.000  0.874
O  0.333  0.667  0.648
O  0.667  0.333  0.148

=====

Record 12
The following is a DFT calculation (PBE+U) of a relaxed Li2FeO3 crystal.

Properties
Total DFT energy (no corrections): -5.516 eV/atom
M_tot: 8.11 Bohr magnetons per cell
Theoretical density: 3.9 g/cm³

Cell lengths 4.923, 4.894, 8.377 Å; angles 90.00, 90.00, 90.00 degrees
Positions (direct):
Li  0.250  0.000  0.076
Li  0.250  0.000  0.762
Li  0.250  0.500  0.424
Li  0.250  0.500  0.738
Li  0.750  0.000  0.238
Li  0.750  0.000  0.924
Li  0.750  0.500  0.262
Li  0.750  0.500  0.576
Fe  0.250  0.000  0.412
Fe  0.250  0.500  0.088
Fe  0.750  0.000  0.588
Fe  0.750  0.500  0.912
O  0.078  0.215  0.575
O  0.078  0.285  0.925
O  0.099  0.250  0.250
O  0.401  0.750  0.250
O  0.422  0.715  0.925
O  0.422  0.785  0.575
O  0.578  0.215  0.425
O  0.578  0.285  0.075
O  0.599  0.250  0.750
O  0.901  0.750  0.750
O  0.922  0.715  0.075
O  0.922  0.785  0.425

=====

Q: Number 10 is which compound?
A: Li9Fe5O12

=====

Q: Which of these has the lowest M_tot?
A: Li2FeO3

=====

Repeat the ninth record exactly.
The following is a DFT calculation (PBE+U) of a relaxed Li2Fe4O7 crystal.

Properties
Total DFT energy (no corrections): -5.868 eV/atom
M_tot: 11.99 Bohr magnetons per cell
Theoretical density: 3.9 g/cm³

Cell lengths 5.112, 5.112, 6.532 Å; angles 90.00, 90.00, 120.00 degrees
Positions (direct):
Li  0.333  0.667  0.000
Li  0.667  0.333  0.000
Fe  0.000  0.000  0.278
Fe  0.000  0.000  0.722
Fe  0.333  0.667  0.500
Fe  0.667  0.333  0.500
O  0.000  0.000  0.000
O  0.000  0.366  0.672
O  0.000  0.634  0.328
O  0.366  0.000  0.672
O  0.366  0.366  0.328
O  0.634  0.000  0.328
O  0.634  0.634  0.672

=====

Q: Number 8 is which compound?
A: LiFeO2